a:
The following is a DFT calculation (PBE-GGA) of a relaxed structure of Eu2ThCu.

Cell: 11.567 11.567 11.567 Å, 17.66 17.66 17.66°
Positions (direct):
Eu: 0.103 0.103 0.103
Eu: 0.897 0.897 0.897
Th: 0.000 0.000 0.000
Cu: 0.500 0.500 0.500


b:
The following is a DFT calculation (PBE-GGA) of a relaxed structure of Eu2ThCu.

Cell: 3.583 3.583 9.220 Å, 90.00 90.00 90.00°
Positions (direct):
Eu: 0.000 0.000 0.198
Eu: 0.000 0.000 0.802
Th: 0.500 0.500 0.500
Cu: 0.500 0.500 0.000


Tell me which of them is the least stable. Sure, it is a.


a:
The following is a DFT calculation (PBE-GGA) of a relaxed structure of EuTm2Cu.

Cell: 3.478 3.478 9.043 Å, 90.00 90.00 90.00°
Positions (direct):
Eu: 0.000 0.000 0.000
Tm: 0.500 0.500 0.318
Tm: 0.500 0.500 0.682
Cu: 0.000 0.000 0.500


b:
The following is a DFT calculation (PBE-GGA) of a relaxed structure of EuTm2Cu.

Cell: 10.173 10.173 10.173 Å, 20.80 20.80 20.80°
Positions (direct):
Eu: 0.000 0.000 0.000
Tm: 0.229 0.229 0.229
Tm: 0.771 0.771 0.771
Cu: 0.500 0.500 0.500


Tell me which of them is the least stable. Sure, it is b.


a:
The following is a DFT calculation (PBE-GGA) of a relaxed structure of EuY2Cu.

Cell: 3.551 3.551 9.116 Å, 90.00 90.00 90.00°
Positions (direct):
Eu: 0.000 0.000 0.000
Y: 0.500 0.500 0.317
Y: 0.500 0.500 0.683
Cu: 0.000 0.000 0.500


b:
The following is a DFT calculation (PBE-GGA) of a relaxed structure of EuY2Cu.

Cell: 10.280 10.280 10.280 Å, 21.02 21.02 21.02°
Positions (direct):
Eu: 0.000 0.000 0.000
Y: 0.229 0.229 0.229
Y: 0.771 0.771 0.771
Cu: 0.500 0.500 0.500


Tell me which of them is the least stable. Sure, it is b.